Here is RbFeIO2 after structural relaxation from Alexandria. Energies are from PBE with a Hubbard U.

Properties
As for the crystal system: tetragonal. Its symmetry is P4/mmm, No. 123. For the total moment, the calculation gives 6.0 μB/f.u. As for the total DFT energy (no corrections): -4.0673 eV per atom.

Cell lengths 4.3572, 4.3572, 5.7272 Å; angles 90.00, 90.00, 90.00 degrees
Last column: nearest neighbours and their distance in Å.
Sites, in units of the cell vectors:
Rb1 0.0000 0.0000 0.0000  4 I 3.08
Fe1 0.5000 0.5000 0.5000  4 O 2.18
I1 0.5000 0.5000 0.0000  2 Fe 2.86, 4 Rb 3.08
O1 0.0000 0.5000 0.5000  2 Fe 2.18
O2 0.5000 0.0000 0.5000  2 Fe 2.18